# La2Pr6Ho3In

A relaxed structure of La2Pr6Ho3In (PBE, Alexandria via LeMat-Bulk).

Cell and atoms, written as extended XYZ:
```
12
Lattice="3.128 -5.426 0.000 3.128 5.426 0.000 -2.094 0.000 11.848" Properties=species:S:1:pos:R:3 pbc="T T T"
La 3.128 3.620 0.000
La 3.128 -3.620 0.000
Pr 0.024 1.761 8.853
Pr 1.093 0.000 3.001
Pr 0.024 -1.761 8.853
Pr 4.139 1.761 2.995
Pr 3.070 0.000 8.847
Pr 4.139 -1.761 2.995
Ho -1.047 0.000 5.924
Ho 2.082 1.814 5.924
Ho 2.082 -1.814 5.924
In 3.128 0.000 0.000
```

Results
Space group: C2/m
Calculated formation energy, eV/atom: -0.060
Spin magnetization, μB per formula unit: 0.00